1.
## Er8Ir2Os (GGA-PBE)

Data for an optimized crystal structure of Er8Ir2Os.

Energy: -70.8 eV for the cell shown
Total magnetization: 0.0 Bohr magnetons per cell
Mass density: 11.835 g/cm3
Energy above the lowest structure with this stoichiometry: 0 meV/atom
Energy of formation from the pure elements: -0.487 eV/atom
Fermi-level density of states: 9.82 states/eV/cell

Structure (extended XYZ):
```
11
Lattice="8.5626 -2.4218 0.0000 8.5626 2.4218 0.0000 -2.0538 0.0000 6.4708" Properties=species:S:1:pos:R:3 pbc="T T T"
Er -0.0734 0.0000 1.9046
Er 1.8174 0.0000 5.2373
Er 4.6038 0.0000 3.4840
Er 6.8240 0.0000 0.3336
Er 8.2473 0.0000 6.1371
Er 10.4675 0.0000 2.9868
Er 13.2539 0.0000 1.2335
Er 15.1448 0.0000 4.5661
Ir 2.7880 0.0000 1.2955
Ir 12.2833 0.0000 5.1753
Os 7.5357 0.0000 3.2354
```

2.
## Na12InHg5 (GGA-PBE)

Data for an optimized crystal structure of Na12InHg5.

Energy: -22.9 eV for the cell shown
Total magnetization: 0.0 Bohr magnetons per cell
Mass density: 4.250 g/cm3
Energy of formation from the pure elements: -0.157 eV/atom
Fermi-level density of states: 6.52 states/eV/cell

Structure (extended XYZ):
```
18
Lattice="-4.7445 5.0181 5.7182 4.7445 -5.0181 5.7182 4.7445 5.0181 -5.7182" Properties=species:S:1:pos:R:3 pbc="T T T"
Na 4.7445 -2.8763 3.7947
Na 2.9352 0.0000 2.8425
Na 6.5538 0.0000 2.8425
Na 2.9173 2.8793 0.0000
Na 6.5717 2.8793 0.0000
Na 0.0000 2.1418 1.9234
Na 4.7445 2.8763 3.7947
Na -1.8272 2.1388 5.7182
Na 1.8272 2.1388 5.7182
Na -1.8093 5.0181 2.8756
Na 1.8093 5.0181 2.8756
Na 0.0000 7.8944 1.9234
In 0.0000 5.0181 0.0000
Hg 1.5367 0.0000 0.0000
Hg 4.7445 0.0000 0.0000
Hg 7.9523 0.0000 0.0000
Hg 0.0000 0.0000 4.2008
Hg 0.0000 0.0000 7.2355
```

3.
## TlP2Rh (GGA-PBE)

Data for an optimized crystal structure of TlP2Rh.

Energy: -21.2 eV for the cell shown
Total magnetization: 0.0 Bohr magnetons per cell
Mass density: 7.247 g/cm3
Energy above the lowest structure with this stoichiometry: 0 meV/atom
Energy of formation from the pure elements: -0.168 eV/atom
Fermi-level density of states: 1.64 states/eV/cell

Structure (extended XYZ):
```
4
Lattice="4.5217 0.0000 0.0000 0.0000 3.8750 0.0000 -2.0024 0.0000 4.8286" Properties=species:S:1:pos:R:3 pbc="T T T"
Tl 0.0000 0.0000 0.0000
P -0.0293 1.9375 2.8541
P 2.5485 1.9375 1.9746
Rh 1.2596 0.0000 2.4143
```